TaCrP2 | Alexandria via LeMat-Bulk | PBE-GGA | relaxed; energy of formation from the pure elements = -0.021 eV/atom; energy relative to the lowest polymorph listed for this composition = 623 meV per atom
1.0
1.5084 0.8709 7.3815
-1.5084 0.8709 7.3815
0.0000 -1.7417 7.3815
Ta Cr P
1 1 2
Direct
0.0000 0.0000 0.0000 Ta
0.2410 0.2410 0.2410 Cr
0.5047 0.5047 0.5047 P
0.7521 0.7521 0.7521 P